(1)
The following is a PBE-GGA calculation of a relaxed PmTlBiRh crystal, from Alexandria via LeMat-Bulk.

a = 5.1634 Å, b = 5.1634 Å, c = 5.1634 Å
α = 60.00°, β = 60.00°, γ = 60.00°
Fractional positions:
Tl (0.2500, 0.2500, 0.2500)
Bi (0.0000, 0.0000, 0.0000)
Pm (0.5000, 0.5000, 0.5000)
Rh (0.7500, 0.7500, 0.7500)

Properties
The value obtained for the formation enthalpy at 0 K is -0.301 eV per atom. The space group is F-43m (216). Its crystal system is cubic. Its total magnetization is 0.000 μB per cell.


(2)
The following is a PBE-GGA calculation of a relaxed NdSmIrAu crystal, from Alexandria via LeMat-Bulk.

a = 5.0998 Å, b = 5.0998 Å, c = 5.0998 Å
α = 60.00°, β = 60.00°, γ = 60.00°
Fractional positions:
Sm (0.2500, 0.2500, 0.2500)
Ir (0.0000, 0.0000, 0.0000)
Au (0.5000, 0.5000, 0.5000)
Nd (0.7500, 0.7500, 0.7500)

Properties
The relative energy among the computed polymorphs comes out at 0.044 eV per atom. The value obtained for the formation enthalpy at 0 K is -0.693 eV per atom. The space group is F-43m (216). Its crystal system is cubic. Its total magnetization is 0.000 μB per cell.


(3)
The following is a PBE-GGA calculation of a relaxed Rb2BaP2Se6 crystal, from Alexandria via LeMat-Bulk.

a = 7.4637 Å, b = 7.4637 Å, c = 9.3557 Å
α = 66.49°, β = 66.49°, γ = 60.00°
Fractional positions:
Ba (0.0000, 0.0000, 0.0000)
Se (0.2666, 0.2666, 0.7048)
Se (0.2666, 0.7621, 0.7048)
Se (0.7334, 0.2379, 0.2952)
Se (0.7334, 0.7334, 0.2952)
Se (0.2379, 0.7334, 0.2952)
Se (0.7621, 0.2666, 0.7048)
P (0.5473, 0.5473, 0.3582)
P (0.4527, 0.4527, 0.6418)
Rb (0.7844, 0.7844, 0.6468)
Rb (0.2156, 0.2156, 0.3532)

Properties
The space group is R-3m (166). As for the formation energy from raw total energies: -0.806 eV per atom. Its crystal system is trigonal. Its total magnetization is 0.000 μB per cell.


(4)
The following is a PBE-GGA calculation of a relaxed ErTm2ThSb4 crystal, from Alexandria via LeMat-Bulk.

a = 4.3950 Å, b = 7.5879 Å, c = 7.5916 Å
α = 70.50°, β = 90.00°, γ = 90.00°
Fractional positions:
Th (0.5000, 0.5000, 0.0000)
Tm (0.5000, 0.0000, 0.5000)
Tm (0.0000, 0.0000, 0.0000)
Er (0.0000, 0.5000, 0.5000)
Sb (0.5000, 0.2452, 0.7469)
Sb (0.5000, 0.7548, 0.2531)
Sb (0.0000, 0.2410, 0.2582)
Sb (0.0000, 0.7590, 0.7418)

Properties
The space group is P2/m (10). As for the formation energy from raw total energies: -1.041 eV per atom. Its crystal system is monoclinic. Its total magnetization is 0.000 μB per cell.


(5)
The following is a PBE-GGA calculation of a relaxed Ac3Tl2Hg crystal, from Alexandria via LeMat-Bulk.

a = 5.8190 Å, b = 9.2103 Å, c = 8.1946 Å
α = 90.00°, β = 90.00°, γ = 71.51°
Fractional positions:
Ac (0.5000, 0.0000, 0.7545)
Ac (0.8318, 0.3362, 0.2449)
Ac (0.1682, 0.6638, 0.7551)
Ac (0.5000, 0.0000, 0.2455)
Ac (0.8317, 0.3362, 0.7551)
Ac (0.1683, 0.6638, 0.2449)
Hg (0.6675, 0.6649, 0.0000)
Hg (0.3325, 0.3351, 0.0000)
Tl (0.0000, 0.0000, 0.5000)
Tl (0.3342, 0.3311, 0.5000)
Tl (0.6658, 0.6689, 0.5000)
Tl (0.0000, 0.0000, 0.0000)

Properties
The relative energy among the computed polymorphs comes out at 0.000 eV per atom. The value obtained for the formation enthalpy at 0 K is -0.385 eV per atom. The space group is P2/m (10). Its crystal system is monoclinic. Its total magnetization is 0.009 μB per cell.


(6)
The following is a PBE-GGA calculation of a relaxed AsHOs2 crystal, from Alexandria via LeMat-Bulk.

a = 4.7363 Å, b = 4.7363 Å, c = 5.8933 Å
α = 66.31°, β = 66.31°, γ = 90.00°
Fractional positions:
Os (0.3750, 0.5071, 0.7500)
Os (0.4929, 0.1250, 0.2500)
Os (0.2571, 0.6250, 0.2500)
Os (0.8750, 0.7429, 0.7500)
As (0.7500, 0.2500, 0.5000)
As (0.0000, 0.0000, 0.0000)
H (0.2500, 0.7500, 0.5000)
H (0.5000, 0.5000, 0.0000)

Properties
The relative energy among the computed polymorphs comes out at 0.000 eV per atom. The space group is I-42d (122). Its crystal system is tetragonal. Its total magnetization is 0.000 μB per cell.


(7)
The following is a PBE-GGA calculation of a relaxed Li2Tl2Rh crystal, from Alexandria via LeMat-Bulk.

a = 5.4505 Å, b = 5.5675 Å, c = 7.6108 Å
α = 111.02°, β = 90.00°, γ = 119.31°
Fractional positions:
Tl (0.4436, 0.6161, 0.8528)
Tl (0.5564, 0.3839, 0.1472)
Tl (0.8275, 0.3839, 0.6472)
Tl (0.1725, 0.6161, 0.3528)
Li (0.0561, 0.8190, 0.0513)
Li (0.7629, 0.8190, 0.5513)
Li (0.9439, 0.1810, 0.9487)
Li (0.2371, 0.1810, 0.4487)
Rh (0.6634, 0.0000, 0.2500)
Rh (0.3366, 0.0000, 0.7500)

Properties
The relative energy among the computed polymorphs comes out at 0.000 eV per atom. The value obtained for the formation enthalpy at 0 K is -0.147 eV per atom. The space group is C2/c (15). Its crystal system is monoclinic. Its total magnetization is 0.000 μB per cell.


(8)
The following is a PBE-GGA calculation of a relaxed RbSrHfOs2 crystal, from Alexandria via LeMat-Bulk.

a = 4.9770 Å, b = 5.9758 Å, c = 4.9770 Å
α = 90.00°, β = 90.00°, γ = 90.00°
Each line ends with the local moment (μB).
Fractional positions:
Hf (0.0000, 0.0000, 0.0000)  -0.06
Rb (0.5000, 0.5000, 0.5000)  0.00
Os (0.0000, 0.0000, 0.5000)  0.34
Os (0.5000, 0.0000, 0.0000)  0.23
Sr (0.0000, 0.5000, 0.0000)  -0.02

Properties
The value obtained for the formation enthalpy at 0 K is 1.453 eV per atom. The space group is P4/mmm (123). Its crystal system is tetragonal. Its total magnetization is 0.453 μB per cell.


(9)
The following is a PBE-GGA calculation of a relaxed Cd2Sn2Br crystal, from Alexandria via LeMat-Bulk.

a = 8.7540 Å, b = 8.7540 Å, c = 3.6735 Å
α = 90.00°, β = 90.00°, γ = 90.00°
Fractional positions:
Cd (0.8218, 0.6782, 0.0000)
Cd (0.1782, 0.3218, 0.0000)
Cd (0.3218, 0.8218, 0.0000)
Cd (0.6782, 0.1782, 0.0000)
Sn (0.6216, 0.8784, 0.5000)
Sn (0.3784, 0.1216, 0.5000)
Sn (0.8784, 0.3784, 0.5000)
Sn (0.1216, 0.6216, 0.5000)
Br (0.5000, 0.5000, 0.0000)
Br (0.0000, 0.0000, 0.0000)

Properties
The relative energy among the computed polymorphs comes out at 0.027 eV per atom. The space group is P4/mbm (127). As for the formation energy from raw total energies: -0.018 eV per atom. Its crystal system is tetragonal. Its total magnetization is 0.000 μB per cell.


(10)
The following is a PBE-GGA calculation of a relaxed Ta5RuPt4 crystal, from Alexandria via LeMat-Bulk.

a = 2.8433 Å, b = 2.8433 Å, c = 20.2560 Å
α = 90.00°, β = 90.00°, γ = 90.00°
Fractional positions:
Pt (0.0000, 0.0000, 0.3989)
Pt (0.0000, 0.0000, 0.6011)
Pt (0.0000, 0.0000, 0.8023)
Pt (0.0000, 0.0000, 0.1977)
Ru (0.0000, 0.0000, 0.0000)
Ta (0.5000, 0.5000, 0.0937)
Ta (0.5000, 0.5000, 0.2974)
Ta (0.5000, 0.5000, 0.9063)
Ta (0.5000, 0.5000, 0.7026)
Ta (0.5000, 0.5000, 0.5000)

Properties
The value obtained for the formation enthalpy at 0 K is -0.563 eV per atom. The space group is P4/mmm (123). Its crystal system is tetragonal. Its total magnetization is 0.000 μB per cell.


Asked for E_tot across the records above, the calculation gives -4.888 -6.100 -4.041 -5.718 -3.279 -6.996 -3.330 -5.560 -2.320 -9.833 eV/atom in order.
Asked for theoretical density across the records above, the calculation gives 11.3 12.1 3.5 8.5 10.3 13.9 9.5 8.2 6.4 18.1 g cm⁻³ in order.